## 1
A plane-wave DFT calculation with PBE was carried out for a relaxed structure of InPSeO2.

abc: 3.9025 3.9025 4.9902
angles: 90.00 90.00 90.00
With the nearest neighbours (Å) after each atom.
Space group P4/mmm (No. 123)
Unique sites:
In 0.0000 0.0000 0.0000 [1 per cell]  4 P 2.76
P 0.5000 0.5000 0.0000 [1 per cell]  2 Se 2.50, 4 In 2.76
Se 0.5000 0.5000 0.5000 [1 per cell]  4 O 1.95
O 0.0000 0.5000 0.5000 [2 per cell]  2 Se 1.95

- Crystal system: tetragonal
- Calculated volume: 15.20 A^3/atom
- Total magnetic moment: 0.0000 μB per atom



## 2
A plane-wave DFT calculation with PBE was carried out for a relaxed structure of InPSeO2.

abc: 3.9360 3.9360 7.0999
angles: 90.00 90.00 90.00
With the nearest neighbours (Å) after each atom.
Space group P4/mmm (No. 123)
Unique sites:
In 0.0000 0.0000 0.0000 [1 per cell]  4 O 1.97
P 0.0000 0.0000 0.5000 [1 per cell]  4 Se 2.78
Se 0.5000 0.5000 0.5000 [1 per cell]  4 P 2.78
O 0.0000 0.5000 0.0000 [2 per cell]  2 In 1.97

- Crystal system: tetragonal
- Calculated volume: 22.00 A^3/atom
- Total magnetic moment: 0.2502 μB per atom



Q: What are the energies relative to the best structure? A: 1 0; 2 269, in meV/atom.



## 1
A plane-wave DFT calculation with PBE was carried out for a relaxed structure of InSnPO2.

abc: 3.9965 3.9965 5.4836
angles: 90.00 90.00 90.00
With the nearest neighbours (Å) after each atom.
Space group P4/mmm (No. 123)
Unique sites:
In 0.0000 0.0000 0.0000 [1 per cell]  4 P 2.83
Sn 0.5000 0.5000 0.5000 [1 per cell]  4 O 2.00
P 0.5000 0.5000 0.0000 [1 per cell]  2 Sn 2.74, 4 In 2.83
O 0.0000 0.5000 0.5000 [2 per cell]  2 Sn 2.00

- Crystal system: tetragonal
- Calculated volume: 17.52 A^3/atom
- Total magnetic moment: 0.0293 μB per atom



## 2
A plane-wave DFT calculation with PBE was carried out for a relaxed structure of InSnPO2.

abc: 4.1113 4.1113 5.3953
angles: 90.00 90.00 90.00
With the nearest neighbours (Å) after each atom.
Space group P4/mmm (No. 123)
Unique sites:
In 0.0000 0.0000 0.0000 [1 per cell]  4 O 2.06
Sn 0.5000 0.5000 0.5000 [1 per cell]  4 P 2.91
P 0.0000 0.0000 0.5000 [1 per cell]  2 In 2.70, 4 Sn 2.91
O 0.0000 0.5000 0.0000 [2 per cell]  2 In 2.06

- Crystal system: tetragonal
- Calculated volume: 18.24 A^3/atom
- Total magnetic moment: 0.1723 μB per atom



Q: What are the energies relative to the best structure? A: 1 0; 2 319, in meV/atom.



## 1
A plane-wave DFT calculation with PBE was carried out for a relaxed structure of TaInPO2.

abc: 3.9572 3.9572 5.2760
angles: 90.00 90.00 90.00
With the nearest neighbours (Å) after each atom.
Space group P4/mmm (No. 123)
Unique sites:
Ta 0.0000 0.0000 0.0000 [1 per cell]  4 P 2.80
In 0.5000 0.5000 0.5000 [1 per cell]  4 O 1.98
P 0.5000 0.5000 0.0000 [1 per cell]  2 In 2.64, 4 Ta 2.80
O 0.0000 0.5000 0.5000 [2 per cell]  2 In 1.98

- Crystal system: tetragonal
- Calculated volume: 16.52 A^3/atom
- Total magnetic moment: 0.1375 μB per atom



## 2
A plane-wave DFT calculation with PBE was carried out for a relaxed structure of TaInPO2.

abc: 3.9512 3.9512 5.2560
angles: 90.00 90.00 90.00
With the nearest neighbours (Å) after each atom.
Space group P4/mmm (No. 123)
Unique sites:
Ta 0.0000 0.0000 0.0000 [1 per cell]  4 O 1.98
In 0.5000 0.5000 0.5000 [1 per cell]  4 P 2.79
P 0.0000 0.0000 0.5000 [1 per cell]  2 Ta 2.63, 4 In 2.79
O 0.0000 0.5000 0.0000 [2 per cell]  2 Ta 1.98

- Crystal system: tetragonal
- Calculated volume: 16.41 A^3/atom
- Total magnetic moment: 0.0000 μB per atom



Q: What are the energies relative to the best structure? A: 1 1699; 2 0, in meV/atom.



## 1
A plane-wave DFT calculation with PBE was carried out for a relaxed structure of InTcP2O.

abc: 5.1163 5.1163 4.0425
angles: 90.00 90.00 90.00
With the nearest neighbours (Å) after each atom.
Space group P4/mmm (No. 123)
Unique sites:
In 0.0000 0.0000 0.0000 [1 per cell]  2 O 2.02
Tc 0.5000 0.5000 0.5000 [1 per cell]  8 P 3.26, 4 O 3.62
P 0.0000 0.5000 0.0000 [2 per cell]  2 In 2.56
O 0.0000 0.0000 0.5000 [1 per cell]  2 In 2.02

- Crystal system: tetragonal
- Calculated volume: 21.16 A^3/atom
- Total magnetic moment: 0.4700 μB per atom



## 2
A plane-wave DFT calculation with PBE was carried out for a relaxed structure of InTcP2O.

abc: 5.0004 5.0004 3.7431
angles: 90.00 90.00 90.00
With the nearest neighbours (Å) after each atom.
Space group P4/mmm (No. 123)
Unique sites:
In 0.0000 0.0000 0.0000 [1 per cell]  8 P 3.12
Tc 0.5000 0.5000 0.5000 [1 per cell]  2 O 1.87
P 0.0000 0.5000 0.5000 [2 per cell]  2 Tc 2.50
O 0.5000 0.5000 0.0000 [1 per cell]  2 Tc 1.87

- Crystal system: tetragonal
- Calculated volume: 18.72 A^3/atom
- Total magnetic moment: 0.0000 μB per atom



Q: What are the energies relative to the best structure? A: 1 1203; 2 0, in meV/atom.



## 1
A plane-wave DFT calculation with PBE was carried out for a relaxed structure of InTeP2O.

abc: 5.1953 5.1953 4.0215
angles: 90.00 90.00 90.00
With the nearest neighbours (Å) after each atom.
Space group P4/mmm (No. 123)
Unique sites:
In 0.0000 0.0000 0.0000 [1 per cell]  2 O 2.01
Te 0.5000 0.5000 0.5000 [1 per cell]  8 P 3.28, 4 O 3.67
P 0.0000 0.5000 0.0000 [2 per cell]  2 In 2.60
O 0.0000 0.0000 0.5000 [1 per cell]  2 In 2.01

- Crystal system: tetragonal
- Calculated volume: 21.71 A^3/atom
- Total magnetic moment: 0.1468 μB per atom



## 2
A plane-wave DFT calculation with PBE was carried out for a relaxed structure of InTeP2O.

abc: 5.1825 5.1825 3.9811
angles: 90.00 90.00 90.00
With the nearest neighbours (Å) after each atom.
Space group P4/mmm (No. 123)
Unique sites:
In 0.0000 0.0000 0.0000 [1 per cell]  8 P 3.27
Te 0.5000 0.5000 0.5000 [1 per cell]  2 O 1.99
P 0.0000 0.5000 0.5000 [2 per cell]  2 Te 2.59
O 0.5000 0.5000 0.0000 [1 per cell]  2 Te 1.99

- Crystal system: tetragonal
- Calculated volume: 21.39 A^3/atom
- Total magnetic moment: 0.0000 μB per atom



Q: What are the energies relative to the best structure? A: 1 136; 2 0, in meV/atom.



## 1
A plane-wave DFT calculation with PBE was carried out for a relaxed structure of TiInPO2.

abc: 3.8211 3.8211 5.2972
angles: 90.00 90.00 90.00
With the nearest neighbours (Å) after each atom.
Space group P4/mmm (No. 123)
Unique sites:
Ti 0.0000 0.0000 0.0000 [1 per cell]  4 O 1.91
In 0.5000 0.5000 0.5000 [1 per cell]  4 P 2.70
P 0.0000 0.0000 0.5000 [1 per cell]  2 Ti 2.65, 4 In 2.70
O 0.0000 0.5000 0.0000 [2 per cell]  2 Ti 1.91

- Crystal system: tetragonal
- Calculated volume: 15.47 A^3/atom
- Total magnetic moment: 0.0000 μB per atom



## 2
A plane-wave DFT calculation with PBE was carried out for a relaxed structure of TiInPO2.

abc: 3.9751 3.9751 5.4035
angles: 90.00 90.00 90.00
With the nearest neighbours (Å) after each atom.
Space group P4/mmm (No. 123)
Unique sites:
Ti 0.0000 0.0000 0.0000 [1 per cell]  4 P 2.81
In 0.5000 0.5000 0.5000 [1 per cell]  4 O 1.99
P 0.5000 0.5000 0.0000 [1 per cell]  2 In 2.70, 4 Ti 2.81
O 0.0000 0.5000 0.5000 [2 per cell]  2 In 1.99

- Crystal system: tetragonal
- Calculated volume: 17.08 A^3/atom
- Total magnetic moment: 0.0118 μB per atom



Q: What are the energies relative to the best structure? A: 1 0; 2 1252, in meV/atom.



## 1
A plane-wave DFT calculation with PBE was carried out for a relaxed structure of TlInPO2.

abc: 4.1646 4.1646 5.4841
angles: 90.00 90.00 90.00
With the nearest neighbours (Å) after each atom.
Space group P4/mmm (No. 123)
Unique sites:
Tl 0.0000 0.0000 0.0000 [1 per cell]  4 O 2.08
In 0.5000 0.5000 0.5000 [1 per cell]  4 P 2.94
P 0.0000 0.0000 0.5000 [1 per cell]  2 Tl 2.74, 4 In 2.94
O 0.0000 0.5000 0.0000 [2 per cell]  2 Tl 2.08

- Crystal system: tetragonal
- Calculated volume: 19.02 A^3/atom
- Total magnetic moment: 0.0007 μB per atom



## 2
A plane-wave DFT calculation with PBE was carried out for a relaxed structure of TlInPO2.

abc: 4.1341 4.1341 5.6010
angles: 90.00 90.00 90.00
With the nearest neighbours (Å) after each atom.
Space group P4/mmm (No. 123)
Unique sites:
Tl 0.0000 0.0000 0.0000 [1 per cell]  4 P 2.92
In 0.5000 0.5000 0.5000 [1 per cell]  4 O 2.07
P 0.5000 0.5000 0.0000 [1 per cell]  2 In 2.80, 4 Tl 2.92
O 0.0000 0.5000 0.5000 [2 per cell]  2 In 2.07

- Crystal system: tetragonal
- Calculated volume: 19.14 A^3/atom
- Total magnetic moment: 0.3034 μB per atom



## 3
A plane-wave DFT calculation with PBE was carried out for a relaxed structure of TlInPO2.

abc: 4.0883 4.0883 7.3212
angles: 90.00 90.00 90.00
With the nearest neighbours (Å) after each atom.
Space group P4/mmm (No. 123)
Unique sites:
Tl 0.0000 0.0000 0.0000 [1 per cell]  4 O 2.04
In 0.0000 0.0000 0.5000 [1 per cell]  4 P 2.89
P 0.5000 0.5000 0.5000 [1 per cell]  4 In 2.89
O 0.0000 0.5000 0.0000 [2 per cell]  2 Tl 2.04

- Crystal system: tetragonal
- Calculated volume: 24.47 A^3/atom
- Total magnetic moment: 0.2330 μB per atom



Q: What are the energies relative to the best structure? A: 1 379; 2 0; 3 566, in meV/atom.



## 1
A plane-wave DFT calculation with PBE was carried out for a relaxed structure of ZnInPO2.

abc: 3.7941 3.7941 4.7883
angles: 90.00 90.00 90.00
With the nearest neighbours (Å) after each atom.
Space group P4/mmm (No. 123)
Unique sites:
Zn 0.0000 0.0000 0.0000 [1 per cell]  2 P 2.39
In 0.5000 0.5000 0.0000 [1 per cell]  4 Zn 2.68
P 0.0000 0.0000 0.5000 [1 per cell]  4 O 1.90
O 0.0000 0.5000 0.5000 [2 per cell]  2 P 1.90

- Crystal system: tetragonal
- Calculated volume: 13.79 A^3/atom
- Total magnetic moment: 0.0000 μB per atom



## 2
A plane-wave DFT calculation with PBE was carried out for a relaxed structure of ZnInPO2.

abc: 3.8643 3.8643 5.0227
angles: 90.00 90.00 90.00
With the nearest neighbours (Å) after each atom.
Space group P4/mmm (No. 123)
Unique sites:
Zn 0.0000 0.0000 0.0000 [1 per cell]  4 O 1.93
In 0.5000 0.5000 0.5000 [1 per cell]  4 P 2.73
P 0.0000 0.0000 0.5000 [1 per cell]  2 Zn 2.51, 4 In 2.73
O 0.0000 0.5000 0.0000 [2 per cell]  2 Zn 1.93

- Crystal system: tetragonal
- Calculated volume: 15.00 A^3/atom
- Total magnetic moment: 0.0000 μB per atom



## 3
A plane-wave DFT calculation with PBE was carried out for a relaxed structure of ZnInPO2.

abc: 4.0175 4.0175 5.7732
angles: 90.00 90.00 90.00
With the nearest neighbours (Å) after each atom.
Space group P4/mmm (No. 123)
Unique sites:
Zn 0.0000 0.0000 0.0000 [1 per cell]  4 P 2.84
In 0.5000 0.5000 0.5000 [1 per cell]  4 O 2.01
P 0.5000 0.5000 0.0000 [1 per cell]  4 Zn 2.84, 2 In 2.89
O 0.0000 0.5000 0.5000 [2 per cell]  2 In 2.01

- Crystal system: tetragonal
- Calculated volume: 18.64 A^3/atom
- Total magnetic moment: 0.3587 μB per atom



Q: What are the energies relative to the best structure? A: 1 0; 2 323; 3 463, in meV/atom.